The following is a PBE calculation of a relaxed KNaMoN3 crystal, from Alexandria via LeMat-Bulk. Values from VASP.

Values from the calculation:
* space group: No. 15
* mass density: 3382 kg/m³
* uncorrected formation energy: -135 meV/atom

```
&SYSTEM
  ibrav = 0, nat = 12, ntyp = 4
/
ATOMIC_SPECIES
K 39.10 K.upf
Na 22.99 Na.upf
Mo 95.94 Mo.upf
N 14.01 N.upf
ATOMIC_POSITIONS angstrom
K 3.055 3.097 4.159
K 3.068 -3.097 1.386
Na 3.068 4.874 1.386
Na 3.055 -4.874 4.159
Mo 3.068 0.647 1.386
Mo 3.055 -0.647 4.159
N 1.738 0.010 2.773
N 1.751 -0.010 0.001
N 3.068 2.431 1.386
N 3.055 -2.431 4.159
N 4.372 0.010 5.545
N 4.385 -0.010 2.772
CELL_PARAMETERS angstrom
3.075 -5.761 0.000
3.075 5.761 0.000
-0.027 0.000 5.545
```



The following is a PBE calculation of a relaxed CeDy2PaN4 crystal, from Alexandria via LeMat-Bulk. Values from VASP.

Values from the calculation:
* space group: No. 10
* mass density: 10257 kg/m³
* uncorrected formation energy: -1642 meV/atom

```
&SYSTEM
  ibrav = 0, nat = 8, ntyp = 4
/
ATOMIC_SPECIES
Ce 140.12 Ce.upf
Dy 162.50 Dy.upf
Pa 231.04 Pa.upf
N 14.01 N.upf
ATOMIC_POSITIONS angstrom
Ce 0.000 0.000 0.000
Dy 2.023 0.000 2.865
Dy 3.030 1.753 0.000
Pa -1.007 1.753 2.865
N -0.011 0.000 4.224
N 0.960 1.753 1.502
N 3.086 1.753 4.228
N 4.057 0.000 1.506
CELL_PARAMETERS angstrom
6.061 0.000 0.000
0.000 3.506 0.000
-2.015 0.000 5.730
```



The following is a PBE calculation of a relaxed SnPPd6 crystal, from Alexandria via LeMat-Bulk. Values from VASP.

Values from the calculation:
* space group: No. 12
* ΔE_f: -334 meV/atom
* mass density: 9398 kg/m³

```
&SYSTEM
  ibrav = 0, nat = 8, ntyp = 3
/
ATOMIC_SPECIES
Sn 118.71 Sn.upf
P 30.97 P.upf
Pd 106.42 Pd.upf
ATOMIC_POSITIONS angstrom
Sn 0.000 0.000 0.000
P 2.138 0.000 3.301
Pd 1.887 1.397 1.426
Pd -0.114 0.000 3.113
Pd 2.388 1.397 5.175
Pd 1.887 -1.397 1.426
Pd 4.389 0.000 3.488
Pd 2.388 -1.397 5.175
CELL_PARAMETERS angstrom
3.763 -2.803 0.000
3.763 2.803 0.000
-3.251 0.000 6.602
```



The following is a PBE calculation of a relaxed CsCoCu3 crystal, from Alexandria via LeMat-Bulk. Values from VASP.

Values from the calculation:
* space group: No. 221
* ΔE_f: 837 meV/atom
* mass density: 5751 kg/m³

```
&SYSTEM
  ibrav = 0, nat = 5, ntyp = 3
/
ATOMIC_SPECIES
Cs 132.91 Cs.upf
Co 58.93 Co.upf
Cu 63.55 Cu.upf
ATOMIC_POSITIONS angstrom
Cs 0.000 0.000 0.000
Co 2.399 2.399 2.399
Cu 0.000 2.399 2.399
Cu 2.399 0.000 2.399
Cu 2.399 2.399 0.000
CELL_PARAMETERS angstrom
4.798 0.000 0.000
0.000 4.798 0.000
0.000 0.000 4.798
```



The following is a PBE calculation of a relaxed AlP2RuBr crystal, from Alexandria via LeMat-Bulk. Values from VASP.

Values from the calculation:
* space group: No. 123
* mass density: 4328 kg/m³
* uncorrected formation energy: 1064 meV/atom

```
&SYSTEM
  ibrav = 0, nat = 5, ntyp = 4
/
ATOMIC_SPECIES
Al 26.98 Al.upf
P 30.97 P.upf
Ru 101.07 Ru.upf
Br 79.90 Br.upf
ATOMIC_POSITIONS angstrom
Al 0.000 0.000 0.000
P 0.000 2.274 0.000
P 2.274 0.000 0.000
Ru 0.000 0.000 2.502
Br 2.274 2.274 2.502
CELL_PARAMETERS angstrom
4.549 0.000 0.000
0.000 4.549 0.000
0.000 0.000 5.004
```



The following is a PBE calculation of a relaxed DyCdGa2 crystal, from Alexandria via LeMat-Bulk. Values from VASP.

Values from the calculation:
* space group: No. 166
* E above lowest polymorph: 90 meV per atom
* ΔE_f: -338 meV/atom
* mass density: 7913 kg/m³

```
&SYSTEM
  ibrav = 0, nat = 4, ntyp = 3
/
ATOMIC_SPECIES
Dy 162.50 Dy.upf
Cd 112.41 Cd.upf
Ga 69.72 Ga.upf
ATOMIC_POSITIONS angstrom
Dy 0.000 0.000 0.000
Cd 0.000 0.000 7.548
Ga 0.000 0.000 3.471
Ga 0.000 0.000 11.624
CELL_PARAMETERS angstrom
2.234 1.290 5.032
-2.234 1.290 5.032
0.000 -2.579 5.032
```



Question: The lowest mass density belongs to which entry?
Answer: KNaMoN3